A relaxed Li4AsO5 crystal. Source: Alexandria via LeMat-Bulk, functional GGA-PBE.

As for the energy relative to the elements, uncorrected: -1676 meV/atom.

abc: 4.8435 5.0476 5.0476
angles: 76.69 61.33 61.33
Atoms (fractional coordinates):
O 0.8876 0.3460 0.8071
O 0.4169 0.0000 0.0000
O 0.2336 0.8071 0.6540
Li 0.4730 0.3700 0.7752
O 0.0406 0.6540 0.1929
Li 0.6183 0.6300 0.2248
As 0.0543 0.0000 0.0000
Li 0.8431 0.7752 0.6300
Li 0.2483 0.2248 0.3700
O 0.6947 0.1929 0.3460